Entry 1:
Density functional theory data (GGA-PBE) for a relaxed Ac2GeCl crystal.

Cell: 4.6213 4.6213 9.5774 Å, 76.04 76.04 60.00°
Closest atoms and distances in Å follow each position.
Fractional coordinates of all 4 atoms:
Ac  0.1062  0.1062  0.6813  1 Cl 2.93, 3 Ge 3.15
Ac  0.8938  0.8938  0.3187  1 Cl 2.93, 3 Ge 3.15
Ge  0.5000  0.5000  0.5000  6 Ac 3.15
Cl  0.0000  0.0000  0.0000  2 Ac 2.93

Summary:
- E above lowest polymorph: 62 kJ/mol of formula units
- Space group: No. 166
- Uncorrected formation energy: -24.8 kcal/mol of atoms
- Energy: -18.991 eV per cell
- Magnetization: 0.0 μB/f.u.
- D(E_F): 2.7 states/eV/f.u.

---

Entry 2:
Density functional theory data (GGA-PBE) for a relaxed NaSiB crystal.

Cell: 10.0314 10.0314 10.0314 Å, 19.93 19.93 19.93°
Closest atoms and distances in Å follow each position.
Fractional coordinates of all 6 atoms:
Na  0.6103  0.6103  0.6103  3 B 2.80, 3 Si 3.03
Na  0.3897  0.3897  0.3897  3 B 2.80, 3 Si 3.03
Si  0.8001  0.8001  0.8001  4 B 2.03-2.27
Si  0.1999  0.1999  0.1999  4 B 2.03-2.27
B  0.1229  0.1229  0.1229  4 Si 2.03-2.27
B  0.8771  0.8771  0.8771  4 Si 2.03-2.27

Summary:
- Space group: No. 166
- Uncorrected formation energy: 2.9 kcal/mol of atoms
- Energy: -26.082 eV per cell
- Magnetization: 0.0 μB/f.u.
- D(E_F): 0.8 states/eV/f.u.